Crystalline TaFe2PdF at its relaxed geometry, computed with GGA+U.

```
TaFe2PdF
1.0
4.266 0.000 0.000
0.000 4.266 0.000
0.000 0.000 4.173
Ta Fe Pd F
1 2 1 1
Direct
0.000 0.000 0.000
0.000 0.500 0.500
0.500 0.000 0.500
0.500 0.500 0.000
0.000 0.000 0.500
```

For the total DFT energy (no corrections), the calculation gives -5.83 eV/atom. The space group is P4/mmm.